First-principles (PBE) data for a relaxed structure of Li2InPd2, as listed in Alexandria via LeMat-Bulk.

a b c (Å): 4.9667 4.9667 7.1001
angles (deg): 101.52 101.52 88.27
Last column: nearest neighbours and their distance in Å.
Atoms (fractional coordinates):
Li: 0.1148 0.2438 0.4732  5 Pd 2.59-2.88, 2 Li 2.74-2.83
Li: 0.2438 0.1148 0.9732  5 Pd 2.59-2.88, 2 Li 2.74-2.83
Li: 0.7562 0.8852 0.0268  5 Pd 2.59-2.88, 2 Li 2.74-2.83
Li: 0.8852 0.7562 0.5268  5 Pd 2.59-2.88, 2 Li 2.74-2.83
In: 0.3539 0.6461 0.2500  6 Pd 2.70-2.82, 2 Li 2.95
In: 0.6461 0.3539 0.7500  6 Pd 2.70-2.82, 2 Li 2.95
Pd: 0.1596 0.5798 0.8595  5 Li 2.59-2.88, 3 In 2.70-2.82, 1 Pd 2.73
Pd: 0.4202 0.8404 0.6405  5 Li 2.59-2.88, 3 In 2.70-2.82, 1 Pd 2.73
Pd: 0.5798 0.1596 0.3595  5 Li 2.59-2.88, 3 In 2.70-2.82, 1 Pd 2.73
Pd: 0.8404 0.4202 0.1405  5 Li 2.59-2.88, 3 In 2.70-2.82, 1 Pd 2.73

## Properties
Its total moment is 0.00 μB/atom. The calculation puts the formation energy at -0.483 eV/atom. The space group is C2/c. For the relative energy among the computed polymorphs, the calculation gives 0.0140 eV/atom.